VASP calculation (PBE) on Pm6Si2SnI3 after structural relaxation.

Values from the calculation:
Size of the total moment   0.0 Bohr magnetons per cell
Raw formation energy   -11.0 eV/f.u.

Cell and atoms, written as CIF:
```
data_Pm6Si2SnI3
_chemical_formula_sum 'Pm12 Si4 Sn2 I6'
_symmetry_space_group_name_H-M 'C 1 2/m 1'
_symmetry_Int_Tables_number 12
_cell_length_a 19.8203
_cell_length_b 4.3683
_cell_length_c 9.1667
_cell_angle_alpha 90.00
_cell_angle_beta 106.36
_cell_angle_gamma 90.00
loop_
_symmetry_equiv_pos_as_xyz
'x,y,z'
'-x,-y,-z'
'-x,y,-z'
'x,-y,z'
'x+1/2,y+1/2,z'
'-x+1/2,-y+1/2,-z'
'-x+1/2,y+1/2,-z'
'x+1/2,-y+1/2,z'
loop_
_atom_site_label
_atom_site_type_symbol
_atom_site_fract_x
_atom_site_fract_y
_atom_site_fract_z
Pm1 Pm 0.0179 0.0000 0.2431
Pm2 Pm 0.1638 0.5000 0.1310
Pm3 Pm 0.1793 0.5000 0.5590
Si1 Si 0.1682 0.0000 0.3407
Sn1 Sn 0.0000 0.5000 0.0000
I1 I 0.0000 0.5000 0.5000
I2 I 0.1645 0.0000 0.8352
```

---

VASP calculation (PBE) on Pm6Si2Te3I after structural relaxation.

Values from the calculation:
Size of the total moment   0.0 Bohr magnetons per cell
Raw formation energy   -14.0 eV/f.u.

Cell and atoms, written as CIF:
```
data_Pm6Si2Te3I
_chemical_formula_sum 'Pm12 Si4 Te6 I2'
_symmetry_space_group_name_H-M 'C 1 2/m 1'
_symmetry_Int_Tables_number 12
_cell_length_a 19.2729
_cell_length_b 4.3480
_cell_length_c 8.9469
_cell_angle_alpha 90.00
_cell_angle_beta 103.01
_cell_angle_gamma 90.00
loop_
_symmetry_equiv_pos_as_xyz
'x,y,z'
'-x,-y,-z'
'-x,y,-z'
'x,-y,z'
'x+1/2,y+1/2,z'
'-x+1/2,-y+1/2,-z'
'-x+1/2,y+1/2,-z'
'x+1/2,-y+1/2,z'
loop_
_atom_site_label
_atom_site_type_symbol
_atom_site_fract_x
_atom_site_fract_y
_atom_site_fract_z
Pm1 Pm 0.0185 0.0000 0.2739
Pm2 Pm 0.1732 0.5000 0.5693
Pm3 Pm 0.1768 0.5000 0.1218
Si1 Si 0.1701 0.0000 0.3375
Te1 Te 0.0000 0.5000 0.5000
Te2 Te 0.1573 0.0000 0.8379
I1 I 0.0000 0.5000 0.0000
```

---

VASP calculation (PBE) on Pm4SiTe2I after structural relaxation.

Values from the calculation:
Size of the total moment   0.0 Bohr magnetons per cell
Raw formation energy   -9.3 eV/f.u.

Cell and atoms, written as CIF:
```
data_Pm4SiTe2I
_chemical_formula_sum 'Pm4 Si1 Te2 I1'
_symmetry_space_group_name_H-M 'P 1 2/m 1'
_symmetry_Int_Tables_number 10
_cell_length_a 7.6318
_cell_length_b 4.3668
_cell_length_c 7.8306
_cell_angle_alpha 90.00
_cell_angle_beta 108.64
_cell_angle_gamma 90.00
loop_
_symmetry_equiv_pos_as_xyz
'x,y,z'
'-x,-y,-z'
'-x,y,-z'
'x,-y,z'
loop_
_atom_site_label
_atom_site_type_symbol
_atom_site_fract_x
_atom_site_fract_y
_atom_site_fract_z
Pm1 Pm 0.2240 0.0000 0.2155
Pm2 Pm 0.2430 0.5000 0.7832
Si1 Si 0.0000 0.5000 0.0000
Te1 Te 0.5000 0.0000 0.0000
Te2 Te 0.5000 0.5000 0.5000
I1 I 0.0000 0.0000 0.5000
```